SrAc3Mo2N6 (PBE, relaxed); magnetization = 0.00 μB per formula unit; formation energy from raw total energies = -0.750 eV per atom
1.0
-4.241 -3.161 3.113
4.710 -2.938 -2.617
4.026 0.824 6.322
Ac N Mo Sr
3 6 2 1
Cartesian
-0.174 -2.865 2.904
0.000 0.000 0.000
4.670 -2.410 3.914
2.578 -3.983 5.518
2.152 -4.339 1.548
2.344 -0.936 5.270
0.225 -2.516 6.825
4.270 -2.760 -0.007
1.917 -1.292 1.300
2.519 -2.850 0.538
1.976 -2.425 6.280
2.013 0.412 3.161